20
Lattice="-4.144 4.144 4.144 4.144 -4.144 4.144 4.144 4.144 -4.144" Properties=species:S:1:pos:R:3 comment="Ba4LiMo3O12 GGA+U relaxed" energy_ev_per_atom=-6.82 pbc="T T T"
Ba 2.072 2.072 -2.072
Ba 2.072 -2.072 2.072
Ba -2.072 2.072 2.072
Ba 2.072 2.072 2.072
Li 0.000 0.000 0.000
Mo 4.144 0.000 0.000
Mo 0.000 4.144 0.000
Mo 0.000 0.000 4.144
O 2.240 0.000 0.000
O 6.049 0.000 0.000
O 4.144 2.072 0.000
O 4.144 0.000 2.072
O 0.000 2.240 0.000
O 0.000 0.000 2.240
O 2.072 4.144 0.000
O 2.072 0.000 4.144
O 0.000 6.049 0.000
O 0.000 0.000 6.049
O 0.000 4.144 2.072
O 0.000 2.072 4.144